First-principles (GGA-PBE) data for a geometry-optimized Tb2CdO structure, as listed in the Alexandria database.

Space-group type: R-3m (166)
N(E_F) in states/eV/cell: 2.97
Raw total energy in eV per atom: -4.95
Total moment in Bohr magnetons per cell: 0.0

Lattice parameters (Å, degrees): 3.503 3.503 9.166 78.98 78.98 60.00
Fractional coordinates of all 4 atoms:
1 Cd 0.000 0.000 0.000
2 Tb 0.117 0.117 0.648
3 O 0.500 0.500 0.500
4 Tb 0.883 0.883 0.352

---

First-principles (GGA-PBE) data for a geometry-optimized TbCdTeO6 structure, as listed in the Alexandria database.

Space-group type: P4_2nm (102)
N(E_F) in states/eV/cell: 9.63
Raw total energy in eV per atom: -5.89
Total moment in Bohr magnetons per cell: 2.1

Lattice parameters (Å, degrees): 5.054 5.054 10.080 90.00 90.00 90.00
Fractional coordinates of all 18 atoms:
1 O 0.685 0.685 0.692
2 Cd 0.000 0.000 0.000
3 O 0.727 0.727 0.328
4 O 0.320 0.320 0.979
5 O 0.680 0.680 0.979
6 O 0.185 0.815 0.192
7 Tb 0.000 0.000 0.669
8 O 0.820 0.180 0.479
9 Te 0.000 0.000 0.334
10 O 0.815 0.185 0.192
11 Te 0.500 0.500 0.834
12 O 0.315 0.315 0.692
13 O 0.273 0.273 0.328
14 Cd 0.500 0.500 0.500
15 O 0.773 0.227 0.828
16 O 0.227 0.773 0.828
17 O 0.180 0.820 0.479
18 Tb 0.500 0.500 0.169

---

First-principles (GGA-PBE) data for a geometry-optimized TbCd2TeO6 structure, as listed in the Alexandria database.

Space-group type: R3 (146)
N(E_F) in states/eV/cell: 3.94
Raw total energy in eV per atom: -5.57
Total moment in Bohr magnetons per cell: 0.0

Lattice parameters (Å, degrees): 5.730 5.730 5.988 61.41 61.41 60.00
Fractional coordinates of all 10 atoms:
1 O 0.961 0.581 0.259
2 O 0.673 0.111 0.784
3 O 0.581 0.199 0.259
4 Cd 0.540 0.540 0.379
5 Te 0.319 0.319 0.044
6 Cd 0.033 0.033 0.902
7 O 0.111 0.432 0.784
8 Tb 0.813 0.813 0.562
9 O 0.432 0.673 0.785
10 O 0.199 0.961 0.259

---

First-principles (GGA-PBE) data for a geometry-optimized TbCdTe2O8 structure, as listed in the Alexandria database.

Space-group type: I-4m2 (119)
N(E_F) in states/eV/cell: 2.49
Raw total energy in eV per atom: -5.69
Total moment in Bohr magnetons per cell: 0.0

Lattice parameters (Å, degrees): 6.243 6.243 6.243 107.23 107.23 114.06
Fractional coordinates of all 12 atoms:
1 O 0.875 0.685 0.191
2 Tb 0.250 0.750 0.500
3 O 0.373 0.057 0.316
4 O 0.494 0.685 0.809
5 Te 0.500 0.500 0.000
6 O 0.315 0.506 0.191
7 O 0.943 0.259 0.316
8 O 0.741 0.057 0.684
9 O 0.315 0.125 0.809
10 O 0.943 0.627 0.684
11 Te 0.750 0.250 0.500
12 Cd 0.000 0.000 0.000